Record 1
KNa2CdPb: optimized geometry, PBE-GGA.

Lattice parameters (Å, degrees): 5.952 5.952 5.657 90.00 90.00 90.00
Fractional positions:
Pb (0.000, 0.000, 0.500)
Na (0.000, 0.500, 0.000)
Na (0.500, 0.000, 0.000)
K (0.500, 0.500, 0.500)
Cd (0.000, 0.000, 0.000)

Output
Fermi-level density of states: 2.525 states/eV/f.u.
E_form: 0.03 eV/atom
Offset from the most stable computed form: 3.03 kJ per mole of atoms
Electronic total energy: -8.2 eV/cell



Record 2
KNaCd2Pd: optimized geometry, PBE-GGA.

Lattice parameters (Å, degrees): 5.325 5.325 5.465 90.00 90.00 90.00
Fractional positions:
Na (0.000, 0.000, 0.500)
K (0.500, 0.500, 0.500)
Pd (0.000, 0.000, 0.000)
Cd (0.000, 0.500, 0.000)
Cd (0.500, 0.000, 0.000)

Output
Fermi-level density of states: 2.383 states/eV/f.u.
E_form: -0.15 eV/atom
Offset from the most stable computed form: 0.00 kJ per mole of atoms
Electronic total energy: -10.2 eV/cell